The following is a PBE calculation of crystalline LaHfCo4 at its relaxed geometry, from the Alexandria database.

Cell: 5.023 5.023 5.023 Å, 60.00 60.00 60.00°
Fractional coordinates of all 6 atoms:
La: 0.000 0.000 0.000
Hf: 0.750 0.750 0.750
Co: 0.376 0.376 0.376
Co: 0.376 0.376 0.871
Co: 0.376 0.871 0.376
Co: 0.871 0.376 0.376

Calculated values
N(E_F): 1.321 states/eV per atom
uncorrected energy: -43.81 eV/f.u.